Entry 1:
Here is a relaxed Li6HoMg6 crystal from Alexandria. Energies are from PBE.

Cell: 7.6550 7.6550 7.6550 Å, 138.35 98.45 96.07°
Last column: nearest neighbours and their distance in Å.
Element x y z (fractional)
Li (0.0000, 0.0000, 0.5000)  4 Li 2.72-2.86, 4 Mg 2.95-3.02
Li (0.0000, 0.5000, 0.0000)  4 Li 2.72-2.86, 4 Mg 2.95-3.02
Li (0.2201, 0.2201, 0.0000)  4 Li 2.86, 4 Mg 2.99-3.03
Li (0.5000, 0.0000, 0.0000)  4 Li 2.72-2.86, 4 Mg 2.95-3.02
Li (0.5000, 0.5000, 0.5000)  4 Li 2.72-2.86, 4 Mg 2.95-3.02
Li (0.7799, 0.7799, 0.0000)  4 Li 2.86, 4 Mg 2.99-3.03
Ho (0.0000, 0.5000, 0.5000)  8 Mg 3.36-3.58, 4 Li 3.53
Mg (0.1963, 0.0000, 0.1963)  6 Li 2.95-2.99, 2 Mg 3.11
Mg (0.3478, 0.5000, 0.8478)  3 Mg 3.04-3.11, 6 Li 3.06-3.24
Mg (0.3500, 0.8500, 0.5000)  6 Li 3.02-3.03, 1 Mg 3.07
Mg (0.6500, 0.1500, 0.5000)  6 Li 3.02-3.03, 1 Mg 3.07
Mg (0.6522, 0.5000, 0.1522)  3 Mg 3.04-3.11, 6 Li 3.06-3.24
Mg (0.8037, 0.0000, 0.8037)  6 Li 2.95-2.99, 2 Mg 3.11

Computed properties:
Space-group type = Immm (71)
Energy of formation from the pure elements = -0.01 eV/atom


Entry 2:
Here is a relaxed PmPr9Nd2 crystal from Alexandria. Energies are from PBE.

Cell: 5.2360 5.2360 15.7032 Å, 90.00 90.00 90.00°
Last column: nearest neighbours and their distance in Å.
Element x y z (fractional)
Pm (0.0000, 0.0000, 0.0000)  12 Pr 3.70
Pr (0.0000, 0.5000, 0.1663)  8 Pr 3.70, 2 Pm 3.70, 2 Nd 3.70
Pr (0.0000, 0.5000, 0.5000)  8 Pr 3.70, 4 Nd 3.70
Pr (0.0000, 0.5000, 0.8337)  8 Pr 3.70, 2 Pm 3.70, 2 Nd 3.70
Pr (0.5000, 0.0000, 0.1663)  8 Pr 3.70, 2 Pm 3.70, 2 Nd 3.70
Pr (0.5000, 0.0000, 0.5000)  8 Pr 3.70, 4 Nd 3.70
Pr (0.5000, 0.0000, 0.8337)  8 Pr 3.70, 2 Pm 3.70, 2 Nd 3.70
Pr (0.5000, 0.5000, 0.0000)  8 Pr 3.70, 4 Pm 3.70
Pr (0.5000, 0.5000, 0.3331)  4 Nd 3.70, 8 Pr 3.70
Pr (0.5000, 0.5000, 0.6669)  4 Nd 3.70, 8 Pr 3.70
Nd (0.0000, 0.0000, 0.3331)  12 Pr 3.70
Nd (0.0000, 0.0000, 0.6669)  12 Pr 3.70

Computed properties:
Space-group type = P4/mmm (123)
Energy of formation from the pure elements = 0.01 eV/atom


Entry 3:
Here is a relaxed YRhS3 crystal from Alexandria. Energies are from PBE.

Cell: 4.6367 4.6367 4.6367 Å, 90.00 90.00 90.00°
Last column: nearest neighbours and their distance in Å.
Element x y z (fractional)
Y (0.0000, 0.0000, 0.0000)  12 S 3.28
Rh (0.5000, 0.5000, 0.5000)  6 S 2.32
S (0.0000, 0.5000, 0.5000)  2 Rh 2.32
S (0.5000, 0.0000, 0.5000)  2 Rh 2.32
S (0.5000, 0.5000, 0.0000)  2 Rh 2.32

Computed properties:
Energy above the lowest structure with this stoichiometry = 0 meV/atom
Formation energy from raw total energies = -0.6247 eV/atom
Space-group type = Pm-3m (221)


Entry 4:
Here is a relaxed NaZrCo3 crystal from Alexandria. Energies are from PBE.

Cell: 4.6870 4.6870 4.6870 Å, 90.00 90.00 90.00°
Last column: nearest neighbours and their distance in Å.
Element x y z (fractional)
Na (0.0000, 0.0000, 0.0000)  12 Co 3.31
Zr (0.5000, 0.5000, 0.5000)  6 Co 2.34
Co (0.0000, 0.5000, 0.5000)  2 Zr 2.34
Co (0.5000, 0.0000, 0.5000)  2 Zr 2.34
Co (0.5000, 0.5000, 0.0000)  2 Zr 2.34

Computed properties:
Energy above the lowest structure with this stoichiometry = 0 meV/atom
Space-group type = Pm-3m (221)
Energy of formation from the pure elements = 1.25 eV/atom


Entry 5:
Here is a relaxed Tb2SmDy9 crystal from Alexandria. Energies are from PBE.

Cell: 11.2287 11.2287 3.5009 Å, 90.00 90.00 120.00°
Last column: nearest neighbours and their distance in Å.
Element x y z (fractional)
Tb (0.3333, 0.6667, 0.0000)  9 Dy 3.24-3.51, 2 Tb 3.50
Tb (0.6667, 0.3333, 0.0000)  9 Dy 3.24-3.51, 2 Tb 3.50
Sm (0.0000, 0.0000, 0.0000)  2 Sm 3.50, 12 Dy 3.86
Dy (0.0000, 0.5000, 0.0000)  2 Tb 3.24, 10 Dy 3.50-3.60
Dy (0.1768, 0.3535, 0.5000)  8 Dy 3.44-3.60, 2 Tb 3.51
Dy (0.1768, 0.8232, 0.5000)  8 Dy 3.44-3.60, 2 Tb 3.51
Dy (0.3535, 0.1768, 0.5000)  8 Dy 3.44-3.60, 2 Tb 3.51
Dy (0.5000, 0.0000, 0.0000)  2 Tb 3.24, 10 Dy 3.50-3.60
Dy (0.5000, 0.5000, 0.0000)  2 Tb 3.24, 10 Dy 3.50-3.60
Dy (0.6465, 0.8232, 0.5000)  8 Dy 3.44-3.60, 2 Tb 3.51
Dy (0.8232, 0.1768, 0.5000)  8 Dy 3.44-3.60, 2 Tb 3.51
Dy (0.8232, 0.6465, 0.5000)  8 Dy 3.44-3.60, 2 Tb 3.51

Computed properties:
Energy above the lowest structure with this stoichiometry = 26 meV/atom
Space-group type = P6/mmm (191)
Energy of formation from the pure elements = 0.05 eV/atom


Entry 6:
Here is a relaxed PrSc2TaO8 crystal from Alexandria. Energies are from PBE.

Cell: 4.8612 4.8612 6.8986 Å, 90.00 90.00 90.03°
Last column: nearest neighbours and their distance in Å.
Element x y z (fractional)
Pr (0.0000, 0.0000, 0.0000)  6 O 2.31-2.41
Sc (0.5000, 0.5000, 0.2668)  6 O 2.09-2.16
Sc (0.5000, 0.5000, 0.7332)  6 O 2.09-2.16
Ta (0.0000, 0.0000, 0.5000)  6 O 1.99-2.02
O (0.1970, 0.8030, 0.2888)  1 Ta 1.99, 1 Sc 2.09
O (0.1970, 0.8030, 0.7112)  1 Ta 1.99, 1 Sc 2.09
O (0.2946, 0.2946, 0.5000)  1 Ta 2.02, 2 Sc 2.14
O (0.3365, 0.3365, 0.0000)  2 Sc 2.16, 1 O 2.25, 1 Pr 2.31
O (0.6635, 0.6635, 0.0000)  2 Sc 2.16, 1 O 2.25, 1 Pr 2.31
O (0.7054, 0.7054, 0.5000)  1 Ta 2.02, 2 Sc 2.14
O (0.8030, 0.1970, 0.2888)  1 Ta 1.99, 1 Sc 2.09
O (0.8030, 0.1970, 0.7112)  1 Ta 1.99, 1 Sc 2.09

Computed properties:
Formation energy from raw total energies = -2.8323 eV/atom
Space-group type = Cmmm (65)


Entry 7:
Here is a relaxed YEr2GaC crystal from Alexandria. Energies are from PBE.

Cell: 4.8091 4.8091 4.8632 Å, 90.00 90.00 90.00°
Last column: nearest neighbours and their distance in Å.
Element x y z (fractional)
Y (0.0000, 0.0000, 0.0000)  2 C 2.43
Er (0.0000, 0.5000, 0.5000)  2 C 2.40
Er (0.5000, 0.0000, 0.5000)  2 C 2.40
Ga (0.5000, 0.5000, 0.0000)  4 Y 3.40, 8 Er 3.42
C (0.0000, 0.0000, 0.5000)  4 Er 2.40, 2 Y 2.43

Computed properties:
Space-group type = P4/mmm (123)
Energy of formation from the pure elements = -0.49 eV/atom


Entry 8:
Here is a relaxed Os2RhPb crystal from Alexandria. Energies are from PBE.

Cell: 7.0576 7.0576 7.0576 Å, 130.35 130.35 72.85°
Last column: nearest neighbours and their distance in Å.
Element x y z (fractional)
Os (0.0766, 0.6250, 0.9516)  2 Rh 2.37
Os (0.3750, 0.3266, 0.4516)  2 Rh 2.37
Os (0.6734, 0.1250, 0.0484)  2 Rh 2.37
Os (0.8750, 0.9234, 0.5484)  2 Rh 2.37
Rh (0.0000, 0.0000, 0.0000)  4 Os 2.37
Rh (0.7500, 0.2500, 0.5000)  4 Os 2.37
Pb (0.2500, 0.7500, 0.5000)  4 Os 2.71
Pb (0.5000, 0.5000, 0.0000)  4 Os 2.71

Computed properties:
Space-group type = I-42d (122)
Energy of formation from the pure elements = 1.60 eV/atom


Entry 9:
Here is a relaxed Ti7Zn2Mo3 crystal from Alexandria. Energies are from PBE.

Cell: 4.7381 3.0060 14.2040 Å, 90.00 98.05 90.00°
Last column: nearest neighbours and their distance in Å.
Element x y z (fractional)
Ti (0.0000, 0.0000, 0.0000)  4 Mo 2.81, 6 Ti 2.84-3.01
Ti (0.0728, 0.5000, 0.1713)  8 Ti 2.80-3.01, 2 Zn 2.85, 1 Mo 2.89
Ti (0.2674, 0.0000, 0.5453)  2 Mo 2.59, 2 Ti 2.68-2.70, 3 Zn 2.83-2.85
Ti (0.4381, 0.0000, 0.8468)  4 Mo 2.61-2.63, 4 Ti 2.80-2.83
Ti (0.5619, 0.0000, 0.1532)  4 Mo 2.61-2.63, 4 Ti 2.80-2.83
Ti (0.7326, 0.0000, 0.4547)  2 Mo 2.59, 2 Ti 2.68-2.70, 3 Zn 2.83-2.85
Ti (0.9272, 0.5000, 0.8287)  8 Ti 2.80-3.01, 2 Zn 2.85, 1 Mo 2.89
Zn (0.1827, 0.0000, 0.3430)  5 Ti 2.83-2.85, 4 Mo 2.84-2.87, 2 Zn 3.01
Zn (0.8173, 0.0000, 0.6570)  5 Ti 2.83-2.85, 4 Mo 2.84-2.87, 2 Zn 3.01
Mo (0.3365, 0.5000, 0.6953)  5 Ti 2.59-2.89, 4 Zn 2.84-2.87
Mo (0.5000, 0.5000, 0.0000)  8 Ti 2.63-2.81
Mo (0.6635, 0.5000, 0.3047)  5 Ti 2.59-2.89, 4 Zn 2.84-2.87

Computed properties:
Space-group type = P2/m (10)
Energy of formation from the pure elements = 0.14 eV/atom


Entry 10:
Here is a relaxed P3IrPt crystal from Alexandria. Energies are from PBE.

Cell: 4.5610 4.5610 4.5610 Å, 90.00 90.00 90.00°
Last column: nearest neighbours and their distance in Å.
Element x y z (fractional)
P (0.0000, 0.0000, 0.5000)  2 Ir 2.28
P (0.0000, 0.5000, 0.0000)  2 Ir 2.28
P (0.5000, 0.0000, 0.0000)  2 Ir 2.28
Ir (0.0000, 0.0000, 0.0000)  6 P 2.28
Pt (0.5000, 0.5000, 0.5000)  12 P 3.23

Computed properties:
Energy above the lowest structure with this stoichiometry = 0 meV/atom
Space-group type = Pm-3m (221)
Energy of formation from the pure elements = 0.89 eV/atom


Entry 11:
Here is a relaxed LaMn2Si3 crystal from Alexandria. Energies are from PBE.

Cell: 6.1807 6.1807 5.1397 Å, 90.00 90.00 74.25°
Last column: nearest neighbours and their distance in Å.
Element x y z (fractional)
La (0.1603, 0.8397, 0.7500)  11 Si 3.08-3.43, 4 Mn 3.44
La (0.8397, 0.1603, 0.2500)  11 Si 3.08-3.43, 4 Mn 3.44
Mn (0.3037, 0.3037, 0.0000)  6 Si 2.36-2.45, 2 Mn 2.57
Mn (0.3037, 0.3037, 0.5000)  6 Si 2.36-2.45, 2 Mn 2.57
Mn (0.6963, 0.6963, 0.0000)  6 Si 2.36-2.45, 2 Mn 2.57
Mn (0.6963, 0.6963, 0.5000)  6 Si 2.36-2.45, 2 Mn 2.57
Si (0.0276, 0.5854, 0.2500)  4 Mn 2.36-2.45, 1 Si 2.45
Si (0.4146, 0.9724, 0.2500)  4 Mn 2.36-2.45, 1 Si 2.45
Si (0.4267, 0.5733, 0.2500)  4 Mn 2.39, 2 Si 2.45
Si (0.5733, 0.4267, 0.7500)  4 Mn 2.39, 2 Si 2.45
Si (0.5854, 0.0276, 0.7500)  4 Mn 2.36-2.45, 1 Si 2.45
Si (0.9724, 0.4146, 0.7500)  4 Mn 2.36-2.45, 1 Si 2.45

Computed properties:
Formation energy from raw total energies = -0.5304 eV/atom
Space-group type = Cmcm (63)


Entry 12:
Here is a relaxed LiNiHRu2 crystal from Alexandria. Energies are from PBE.

Cell: 3.7837 3.7837 3.6898 Å, 90.00 90.00 90.00°
Last column: nearest neighbours and their distance in Å.
Element x y z (fractional)
Li (0.0000, 0.0000, 0.0000)  2 H 1.84
Ni (0.5000, 0.5000, 0.0000)  8 Ru 2.64, 4 Li 2.68
H (0.0000, 0.0000, 0.5000)  2 Li 1.84, 4 Ru 1.89
Ru (0.0000, 0.5000, 0.5000)  2 H 1.89
Ru (0.5000, 0.0000, 0.5000)  2 H 1.89

Computed properties:
Space-group type = P4/mmm (123)


The following volume values (in Å³ per cell) correspond, in order, to the records above: 279; 431; 100; 103; 382; 163; 112; 199; 200; 95; 189; 53.
The following E values (in eV/atom) correspond, in order, to the records above: -1.985; -4.764; -5.864; -4.982; -4.571; -8.579; -6.057; -6.783; -7.382; -5.334; -7.120; -5.750.
The following magnetization values (in μB per cell) correspond, in order, to the records above: 0.00; 0.00; 0.00; 2.19; 0.00; 1.04; 0.00; 0.00; 0.00; 0.00; 3.68; 0.00.